[1]
Here is a relaxed structure of LaPr4Ho7 from Alexandria. Energies are from PBE.

Lattice parameters (Å, degrees): 6.802 6.802 12.862 114.86 114.86 51.95
Sites, in units of the cell vectors:
La: 0.000 0.000 0.000
Pr: 0.231 0.231 0.671
Pr: 0.367 0.367 0.223
Pr: 0.633 0.633 0.777
Pr: 0.769 0.769 0.329
Ho: 0.066 0.066 0.322
Ho: 0.211 0.211 0.923
Ho: 0.367 0.367 0.502
Ho: 0.500 0.500 0.000
Ho: 0.633 0.633 0.498
Ho: 0.789 0.789 0.077
Ho: 0.934 0.934 0.678

For the formation energy, the calculation gives 2.97 eV/f.u. For the polymorph energy (0 for the lowest one), the calculation gives 230 meV/atom. The value obtained for the final energy is -4.427 eV/atom. The value obtained for the total magnetic moment is 0.000 μB per formula unit.

[2]
Here is a relaxed structure of La12Pr6Ho from Alexandria. Energies are from PBE.

Lattice parameters (Å, degrees): 9.030 9.030 9.030 98.48 98.48 98.48
Sites, in units of the cell vectors:
La: 0.001 0.262 0.739
La: 0.167 0.584 0.583
La: 0.261 0.999 0.738
La: 0.262 0.739 0.001
La: 0.416 0.417 0.833
La: 0.417 0.833 0.416
La: 0.583 0.167 0.584
La: 0.584 0.583 0.167
La: 0.738 0.261 0.999
La: 0.739 0.001 0.262
La: 0.833 0.416 0.417
La: 0.999 0.738 0.261
Pr: 0.140 0.408 0.141
Pr: 0.141 0.140 0.408
Pr: 0.408 0.141 0.140
Pr: 0.592 0.859 0.860
Pr: 0.859 0.860 0.592
Pr: 0.860 0.592 0.859
Ho: 0.000 0.000 0.000

For the formation energy, the calculation gives 1.97 eV/f.u. The value obtained for the final energy is -4.758 eV/atom. The value obtained for the total magnetic moment is 0.000 μB per formula unit.

[3]
Here is a relaxed structure of LaPr2Ho from Alexandria. Energies are from PBE.

Lattice parameters (Å, degrees): 8.277 8.277 8.277 90.00 90.00 90.00
Sites, in units of the cell vectors:
La: 0.000 0.000 0.000
La: 0.000 0.500 0.500
La: 0.500 0.000 0.500
La: 0.500 0.500 0.000
Pr: 0.250 0.250 0.250
Pr: 0.250 0.250 0.750
Pr: 0.250 0.750 0.250
Pr: 0.250 0.750 0.750
Pr: 0.750 0.250 0.250
Pr: 0.750 0.250 0.750
Pr: 0.750 0.750 0.250
Pr: 0.750 0.750 0.750
Ho: 0.000 0.000 0.500
Ho: 0.000 0.500 0.000
Ho: 0.500 0.000 0.000
Ho: 0.500 0.500 0.500

For the formation energy, the calculation gives 0.57 eV/f.u. For the polymorph energy (0 for the lowest one), the calculation gives 129 meV/atom. The value obtained for the final energy is -4.624 eV/atom. The value obtained for the total magnetic moment is 0.698 μB per formula unit.

[4]
Here is a relaxed structure of La7Pr16Ho6 from Alexandria. Energies are from PBE.

Lattice parameters (Å, degrees): 11.363 11.363 11.363 60.00 60.00 60.00
Sites, in units of the cell vectors:
La: 0.000 0.000 0.000
La: 0.000 0.000 0.500
La: 0.000 0.500 0.000
La: 0.000 0.500 0.500
La: 0.500 0.000 0.000
La: 0.500 0.000 0.500
La: 0.500 0.500 0.000
Pr: 0.035 0.655 0.655
Pr: 0.122 0.122 0.122
Pr: 0.122 0.122 0.634
Pr: 0.122 0.634 0.122
Pr: 0.345 0.345 0.345
Pr: 0.345 0.345 0.965
Pr: 0.345 0.965 0.345
Pr: 0.366 0.878 0.878
Pr: 0.634 0.122 0.122
Pr: 0.655 0.035 0.655
Pr: 0.655 0.655 0.035
Pr: 0.655 0.655 0.655
Pr: 0.878 0.366 0.878
Pr: 0.878 0.878 0.366
Pr: 0.878 0.878 0.878
Pr: 0.965 0.345 0.345
Ho: 0.292 0.292 0.708
Ho: 0.292 0.708 0.292
Ho: 0.292 0.708 0.708
Ho: 0.708 0.292 0.292
Ho: 0.708 0.292 0.708
Ho: 0.708 0.708 0.292

For the formation energy, the calculation gives 6.99 eV/f.u. The value obtained for the final energy is -4.532 eV/atom. The value obtained for the total magnetic moment is 0.005 μB per formula unit.

[5]
Here is a relaxed structure of LaPrHo2 from Alexandria. Energies are from PBE.

Lattice parameters (Å, degrees): 3.641 3.641 35.087 90.00 90.00 120.00
Sites, in units of the cell vectors:
La: 0.000 0.000 0.000
La: 0.333 0.667 0.667
La: 0.667 0.333 0.333
Pr: 0.000 0.000 0.500
Pr: 0.333 0.667 0.167
Pr: 0.667 0.333 0.833
Ho: 0.000 0.000 0.250
Ho: 0.000 0.000 0.750
Ho: 0.333 0.667 0.417
Ho: 0.333 0.667 0.916
Ho: 0.667 0.333 0.084
Ho: 0.667 0.333 0.583

For the formation energy, the calculation gives 0.05 eV/f.u. For the polymorph energy (0 for the lowest one), the calculation gives 0 meV/atom. The value obtained for the final energy is -4.702 eV/atom. The value obtained for the total magnetic moment is 0.000 μB per formula unit.

[6]
Here is a relaxed structure of La3Pr2Ho from Alexandria. Energies are from PBE.

Lattice parameters (Å, degrees): 6.429 6.429 12.031 90.00 90.00 120.00
Sites, in units of the cell vectors:
La: 0.000 0.330 0.250
La: 0.000 0.670 0.750
La: 0.330 0.000 0.250
La: 0.330 0.330 0.750
La: 0.670 0.000 0.750
La: 0.670 0.670 0.250
Pr: 0.333 0.667 0.000
Pr: 0.333 0.667 0.500
Pr: 0.667 0.333 0.000
Pr: 0.667 0.333 0.500
Ho: 0.000 0.000 0.000
Ho: 0.000 0.000 0.500

For the formation energy, the calculation gives 0.12 eV/f.u. For the polymorph energy (0 for the lowest one), the calculation gives 0 meV/atom. The value obtained for the final energy is -4.800 eV/atom. The value obtained for the total magnetic moment is 0.000 μB per formula unit.

[7]
Here is a relaxed structure of La4PrHo3S8 from Alexandria. Energies are from PBE.

Lattice parameters (Å, degrees): 8.135 8.135 8.135 59.42 59.42 59.42
Sites, in units of the cell vectors:
La: 0.000 0.000 0.000
La: 0.000 0.500 0.500
La: 0.500 0.000 0.500
La: 0.500 0.500 0.000
Pr: 0.500 0.500 0.500
Ho: 0.000 0.000 0.500
Ho: 0.000 0.500 0.000
Ho: 0.500 0.000 0.000
S: 0.235 0.749 0.749
S: 0.242 0.242 0.242
S: 0.251 0.251 0.765
S: 0.251 0.765 0.251
S: 0.749 0.235 0.749
S: 0.749 0.749 0.235
S: 0.758 0.758 0.758
S: 0.765 0.251 0.251

The value obtained for the final energy is -6.527 eV/atom. As for the formation energy (no corrections): -2074 meV per atom. The value obtained for the total magnetic moment is 0.000 μB per formula unit.

[8]
Here is a relaxed structure of LaPr2HoS4 from Alexandria. Energies are from PBE.

Lattice parameters (Å, degrees): 7.057 4.023 7.082 90.00 108.94 90.00
Sites, in units of the cell vectors:
La: 0.000 0.000 0.000
Pr: 0.500 0.000 0.500
Pr: 0.500 0.500 0.000
Ho: 0.000 0.500 0.500
S: 0.235 0.000 0.735
S: 0.243 0.500 0.259
S: 0.757 0.500 0.741
S: 0.765 0.000 0.265

The value obtained for the final energy is -6.486 eV/atom. As for the formation energy (no corrections): -2039 meV per atom. The value obtained for the total magnetic moment is 0.000 μB per formula unit.

[9]
Here is a relaxed structure of La2PrHoS4 from Alexandria. Energies are from PBE.

Lattice parameters (Å, degrees): 7.083 4.041 7.086 90.00 109.09 90.00
Sites, in units of the cell vectors:
La: 0.000 0.000 0.000
La: 0.500 0.500 0.000
Pr: 0.000 0.500 0.500
Ho: 0.500 0.000 0.500
S: 0.257 0.000 0.741
S: 0.265 0.500 0.267
S: 0.735 0.500 0.733
S: 0.743 0.000 0.259

The value obtained for the final energy is -6.544 eV/atom. As for the formation energy (no corrections): -2079 meV per atom. The value obtained for the total magnetic moment is 0.000 μB per formula unit.

[10]
Here is a relaxed structure of La4Pr3HoS8 from Alexandria. Energies are from PBE.

Lattice parameters (Å, degrees): 8.205 8.205 8.205 60.08 60.08 60.08
Sites, in units of the cell vectors:
La: 0.000 0.000 0.000
La: 0.000 0.500 0.500
La: 0.500 0.000 0.500
La: 0.500 0.500 0.000
Pr: 0.000 0.000 0.500
Pr: 0.000 0.500 0.000
Pr: 0.500 0.000 0.000
Ho: 0.500 0.500 0.500
S: 0.249 0.249 0.249
S: 0.257 0.742 0.742
S: 0.258 0.258 0.743
S: 0.258 0.743 0.258
S: 0.742 0.257 0.742
S: 0.742 0.742 0.257
S: 0.743 0.258 0.258
S: 0.751 0.751 0.751

The value obtained for the final energy is -6.564 eV/atom. As for the formation energy (no corrections): -2087 meV per atom. The value obtained for the total magnetic moment is 0.000 μB per formula unit.

[11]
Here is a relaxed structure of La3Pr2HoS6 from Alexandria. Energies are from PBE.

Lattice parameters (Å, degrees): 7.097 7.097 7.088 99.63 99.63 120.08
Sites, in units of the cell vectors:
La: 0.000 0.000 0.000
La: 0.329 0.671 0.000
La: 0.671 0.329 0.000
Pr: 0.167 0.833 0.500
Pr: 0.833 0.167 0.500
Ho: 0.500 0.500 0.500
S: 0.099 0.420 0.261
S: 0.260 0.260 0.744
S: 0.420 0.099 0.261
S: 0.580 0.901 0.739
S: 0.740 0.740 0.256
S: 0.901 0.580 0.739

The value obtained for the final energy is -6.564 eV/atom. As for the formation energy (no corrections): -2091 meV per atom. The value obtained for the total magnetic moment is 0.000 μB per formula unit.

[12]
Here is a relaxed structure of LaPr2HoSb4 from Alexandria. Energies are from PBE.

Lattice parameters (Å, degrees): 7.840 4.535 7.848 90.00 109.47 90.00
Sites, in units of the cell vectors:
La: 0.000 0.000 0.000
Pr: 0.000 0.500 0.500
Pr: 0.500 0.000 0.500
Ho: 0.500 0.500 0.000
Sb: 0.256 0.500 0.247
Sb: 0.259 0.000 0.757
Sb: 0.741 0.000 0.243
Sb: 0.744 0.500 0.753

The value obtained for the final energy is -5.627 eV/atom. As for the formation energy (no corrections): -1183 meV per atom. The value obtained for the total magnetic moment is 0.000 μB per formula unit.